1.
The following is a PBEsol calculation of a relaxed BaCaVF7 crystal, from Alexandria.

VASP energy ... -6.225 eV/atom
Energy relative to the elements, uncorrected ... -3.484 eV/atom
DOS(E_F) ... 0.969 states/eV per atom

Cell: 5.552 10.836 9.401 Å, 90.00 92.03 90.00°
Space group P2_1/c (No. 14)
Symmetry-distinct sites (fractional):
Ba  0.229  0.154  0.477 (multiplicity 4)
Ca  0.216  0.573  0.363 (multiplicity 4)
V  0.306  0.655  0.703 (multiplicity 4)
F  0.022  0.737  0.774 (multiplicity 4)
F  0.106  0.522  0.145 (multiplicity 4)
F  0.150  0.514  0.609 (multiplicity 4)
F  0.223  0.738  0.527 (multiplicity 4)
F  0.403  0.557  0.861 (multiplicity 4)
F  0.408  0.107  0.899 (multiplicity 4)
F  0.498  0.705  0.276 (multiplicity 4)


2.
The following is a PBEsol calculation of a relaxed ReSiAsSe2 crystal, from Alexandria.

VASP energy ... -5.091 eV/atom
Energy relative to the elements, uncorrected ... 1.286 eV/atom
DOS(E_F) ... 0.850 states/eV per atom

Cell: 4.565 4.565 4.546 Å, 90.00 90.00 90.00°
Space group P4/mmm (No. 123)
Symmetry-distinct sites (fractional):
Re  0.000  0.000  0.000 (multiplicity 1)
Si  0.500  0.500  0.500 (multiplicity 1)
As  0.500  0.500  0.000 (multiplicity 1)
Se  0.000  0.500  0.500 (multiplicity 2)